Density functional theory data (PBE) for crystalline ZnRuI2O at its relaxed geometry.

Cell lengths 5.5801, 5.5801, 3.7541 Å; angles 90.00, 90.00, 90.00 degrees
With the nearest neighbours (Å) after each atom.
Fractional coordinates of all 5 atoms:
I 0.0000 0.5000 0.0000  2 Ru 2.79
I 0.5000 0.0000 0.0000  2 Ru 2.79
Ru 0.0000 0.0000 0.0000  2 O 1.88
Zn 0.5000 0.5000 0.5000  8 I 3.36, 2 Zn 3.75
O 0.0000 0.0000 0.5000  2 Ru 1.88

total magnetic moment = 0.25 μB per cell
formation energy from raw total energies = -0.0804 eV per atom
VASP energy = -3.8021 eV per atom
V = 23.4 Å³/atom

---

Density functional theory data (PBE) for crystalline Rb2Ce2ZrSe6 at its relaxed geometry.

Cell lengths 7.2485, 7.2485, 8.5425 Å; angles 98.39, 98.39, 119.43 degrees
With the nearest neighbours (Å) after each atom.
Fractional coordinates of all 11 atoms:
Rb 0.8298 0.1702 0.0000  6 Se 3.46-3.56
Rb 0.1702 0.8298 0.0000  6 Se 3.46-3.56
Ce 0.3336 0.6664 0.5000  6 Se 2.95-2.96
Ce 0.6664 0.3336 0.5000  6 Se 2.95-2.96
Zr 0.0000 0.0000 0.5000  6 Se 2.75-2.76
Se 0.7549 0.7549 0.6913  1 Zr 2.75, 2 Ce 2.95
Se 0.0660 0.3785 0.6921  1 Zr 2.76, 2 Ce 2.95-2.96
Se 0.2451 0.2451 0.3087  1 Zr 2.75, 2 Ce 2.95
Se 0.3785 0.0660 0.6921  1 Zr 2.76, 2 Ce 2.95-2.96
Se 0.9340 0.6215 0.3079  1 Zr 2.76, 2 Ce 2.95-2.96
Se 0.6215 0.9340 0.3079  1 Zr 2.76, 2 Ce 2.95-2.96

total magnetic moment = 2.04 μB per cell
formation energy from raw total energies = -1.5801 eV per atom
VASP energy = -5.5127 eV per atom
V = 34.0 Å³/atom

---

Density functional theory data (PBE) for crystalline CaTlSbPb at its relaxed geometry.

Cell lengths 5.5497, 5.5497, 5.5497 Å; angles 60.00, 60.00, 60.00 degrees
With the nearest neighbours (Å) after each atom.
Fractional coordinates of all 4 atoms:
Pb 0.0000 0.0000 0.0000  4 Tl 3.40, 4 Sb 3.40
Sb 0.7500 0.7500 0.7500  4 Pb 3.40, 4 Ca 3.40
Tl 0.2500 0.2500 0.2500  4 Pb 3.40, 4 Ca 3.40
Ca 0.5000 0.5000 0.5000  4 Tl 3.40, 4 Sb 3.40

total magnetic moment = 0.00 μB per cell
formation energy from raw total energies = -0.2758 eV per atom
VASP energy = -3.3255 eV per atom
V = 30.2 Å³/atom

---

Density functional theory data (PBE) for crystalline ScMn2Ni2 at its relaxed geometry.

Cell lengths 7.0770, 7.0770, 2.5557 Å; angles 90.00, 90.00, 90.00 degrees
With the nearest neighbours (Å) after each atom.
Fractional coordinates of all 10 atoms:
Sc 0.0000 0.0000 0.0000  2 Sc 2.56
Sc 0.5000 0.5000 0.0000  2 Sc 2.56
Ni 0.1882 0.6882 0.5000  6 Mn 2.44-2.50, 2 Ni 2.56
Ni 0.6882 0.8118 0.5000  6 Mn 2.44-2.50, 2 Ni 2.56
Ni 0.8118 0.3118 0.5000  6 Mn 2.44-2.50, 2 Ni 2.56
Ni 0.3118 0.1882 0.5000  6 Mn 2.44-2.50, 2 Ni 2.56
Mn 0.3962 0.8962 0.0000  1 Mn 2.08
Mn 0.8962 0.6038 0.0000  1 Mn 2.08
Mn 0.6038 0.1038 0.0000  1 Mn 2.08
Mn 0.1038 0.3962 0.0000  1 Mn 2.08

total magnetic moment = 0.50 μB per cell
VASP energy = -7.1750 eV per atom
V = 12.8 Å³/atom

---

Density functional theory data (PBE) for crystalline FeOs2Pb at its relaxed geometry.

Cell lengths 2.8528, 3.6459, 6.7061 Å; angles 90.00, 90.00, 90.00 degrees
With the nearest neighbours (Å) after each atom.
Fractional coordinates of all 4 atoms:
Fe 0.5000 0.5000 0.8005  5 Os 2.56-2.69, 2 Fe 2.85
Os 0.0000 0.0000 0.0062  6 Os 2.60-2.85, 4 Fe 2.69
Os 0.5000 0.5000 0.1819  1 Fe 2.56, 6 Os 2.60-2.85
Pb 0.0000 0.0000 0.5113  2 Pb 2.85, 4 Fe 3.02

total magnetic moment = 2.72 μB per cell
VASP energy = -7.9981 eV per atom
V = 17.4 Å³/atom

---

Density functional theory data (PBE) for crystalline CdAgSb2 at its relaxed geometry.

Cell lengths 5.5396, 5.5396, 5.5396 Å; angles 129.93, 129.93, 73.51 degrees
With the nearest neighbours (Å) after each atom.
Fractional coordinates of all 4 atoms:
Sb 0.0000 0.0000 0.0000  4 Cd 3.23, 4 Ag 3.23, 4 Sb 3.31
Sb 0.5000 0.5000 0.0000  4 Ag 3.23, 4 Cd 3.23, 4 Sb 3.31
Ag 0.2500 0.7500 0.5000  8 Sb 3.23, 4 Cd 3.31
Cd 0.7500 0.2500 0.5000  8 Sb 3.23, 4 Ag 3.31

total magnetic moment = 0.00 μB per cell
formation energy from raw total energies = 0.1711 eV per atom
VASP energy = -2.8317 eV per atom
V = 24.4 Å³/atom

---

Density functional theory data (PBE) for crystalline PmTmNiPb at its relaxed geometry.

Cell lengths 5.1894, 5.1894, 5.1894 Å; angles 60.00, 60.00, 60.00 degrees
With the nearest neighbours (Å) after each atom.
Fractional coordinates of all 4 atoms:
Pb 0.0000 0.0000 0.0000  4 Pm 3.18, 4 Tm 3.18
Ni 0.5000 0.5000 0.5000  4 Tm 3.18, 4 Pm 3.18
Tm 0.7500 0.7500 0.7500  4 Ni 3.18, 4 Pb 3.18
Pm 0.2500 0.2500 0.2500  4 Pb 3.18, 4 Ni 3.18

total magnetic moment = 0.00 μB per cell
VASP energy = -4.9566 eV per atom
V = 24.7 Å³/atom

---

Density functional theory data (PBE) for crystalline SrMnTcP2 at its relaxed geometry.

Cell lengths 3.9273, 3.9273, 6.6136 Å; angles 107.27, 107.27, 90.00 degrees
With the nearest neighbours (Å) after each atom.
Fractional coordinates of all 5 atoms:
Sr 0.0000 0.0000 0.0000  8 P 3.26, 4 Mn 3.59, 4 Tc 3.59
Mn 0.2500 0.7500 0.5000  4 P 2.35
Tc 0.7500 0.2500 0.5000  4 P 2.35
P 0.6420 0.6420 0.2840  2 Mn 2.35, 2 Tc 2.35
P 0.3580 0.3580 0.7160  2 Tc 2.35, 2 Mn 2.35

total magnetic moment = 2.59 μB per cell
VASP energy = -7.1807 eV per atom
V = 18.5 Å³/atom

---

Density functional theory data (PBE) for crystalline AlZn2Rh at its relaxed geometry.

Cell lengths 4.4803, 5.2889, 2.8324 Å; angles 74.76, 89.33, 114.86 degrees
With the nearest neighbours (Å) after each atom.
Fractional coordinates of all 4 atoms:
Zn 0.0000 0.0000 0.0000  6 Zn 2.64-2.83, 2 Rh 2.65, 2 Al 2.65
Zn 0.5000 0.0000 0.5000  6 Zn 2.64-2.83, 2 Al 2.65, 2 Rh 2.65
Rh 0.5000 0.5000 0.0000  4 Al 2.64-2.66, 4 Zn 2.65, 2 Rh 2.83
Al 0.0000 0.5000 0.5000  4 Rh 2.64-2.66, 4 Zn 2.65, 2 Al 2.83

total magnetic moment = 0.00 μB per cell
VASP energy = -3.7443 eV per atom
V = 14.5 Å³/atom

---

Density functional theory data (PBE) for crystalline Mg2BF at its relaxed geometry.

Cell lengths 5.3783, 3.0952, 7.1254 Å; angles 90.00, 98.87, 90.00 degrees
With the nearest neighbours (Å) after each atom.
Fractional coordinates of all 8 atoms:
Mg 0.6337 0.2500 0.8194  1 F 2.21, 1 B 2.40
Mg 0.3663 0.7500 0.1806  1 F 2.21, 1 B 2.40
Mg 0.8743 0.2500 0.2949  3 F 2.11-2.15
Mg 0.1257 0.7500 0.7051  3 F 2.11-2.15
B 0.0475 0.2500 0.0013  2 B 1.63
B 0.9525 0.7500 0.9987  2 B 1.63
F 0.8677 0.2500 0.5907  4 Mg 2.11-2.21
F 0.1323 0.7500 0.4093  4 Mg 2.11-2.21

total magnetic moment = 0.00 μB per cell
formation energy from raw total energies = -1.1438 eV per atom
VASP energy = -4.0783 eV per atom
V = 14.6 Å³/atom

---

Density functional theory data (PBE) for crystalline Pm2ReCl at its relaxed geometry.

Cell lengths 3.2174, 3.2174, 10.4395 Å; angles 81.14, 81.14, 60.00 degrees
With the nearest neighbours (Å) after each atom.
Fractional coordinates of all 4 atoms:
Re 0.0000 0.0000 0.0000  2 Pm 2.79
Cl 0.5000 0.5000 0.5000  6 Pm 2.99, 6 Cl 3.22
Pm 0.0904 0.0904 0.7287  1 Re 2.79, 3 Cl 2.99
Pm 0.9096 0.9096 0.2713  1 Re 2.79, 3 Cl 2.99

total magnetic moment = 0.34 μB per cell
formation energy from raw total energies = 0.1589 eV per atom
VASP energy = -5.7901 eV per atom
V = 23.0 Å³/atom

---

Density functional theory data (PBE) for crystalline SrCo2SbAs at its relaxed geometry.

Cell lengths 4.7479, 5.6363, 4.7479 Å; angles 90.00, 90.00, 90.00 degrees
With the nearest neighbours (Å) after each atom.
Fractional coordinates of all 5 atoms:
Sb 0.0000 0.0000 0.0000  4 Co 2.37
As 0.0000 0.5000 0.0000  2 Sb 2.82
Co 0.0000 0.0000 0.5000  2 Sb 2.37
Co 0.5000 0.0000 0.0000  2 Sb 2.37
Sr 0.5000 0.5000 0.5000  4 As 3.36, 8 Co 3.68

total magnetic moment = 2.71 μB per cell
formation energy from raw total energies = 0.4199 eV per atom
VASP energy = -4.5132 eV per atom
V = 25.4 Å³/atom

---

What did the sixth record say?
Density functional theory data (PBE) for crystalline CdAgSb2 at its relaxed geometry.

Cell lengths 5.5396, 5.5396, 5.5396 Å; angles 129.93, 129.93, 73.51 degrees
With the nearest neighbours (Å) after each atom.
Fractional coordinates of all 4 atoms:
Sb 0.0000 0.0000 0.0000  4 Cd 3.23, 4 Ag 3.23, 4 Sb 3.31
Sb 0.5000 0.5000 0.0000  4 Ag 3.23, 4 Cd 3.23, 4 Sb 3.31
Ag 0.2500 0.7500 0.5000  8 Sb 3.23, 4 Cd 3.31
Cd 0.7500 0.2500 0.5000  8 Sb 3.23, 4 Ag 3.31

total magnetic moment = 0.00 μB per cell
formation energy from raw total energies = 0.1711 eV per atom
VASP energy = -2.8317 eV per atom
V = 24.4 Å³/atom